No. 1
Density functional theory data (PBE-GGA) for a relaxed SrPaPb2 crystal.

Properties
The excess energy over the best structure of this formula in the dataset is 347.8 meV per atom. The energy is -17.83 eV per cell. As for the formation energy: 73.8 kJ/mol of formula units. The space-group type is No. 166. Its volume is 32.44 Å³ per atom.

Cell lengths 3.4846, 3.4846, 12.5007 Å; angles 81.99, 81.99, 60.00 degrees
Site moments in Bohr magnetons follow the coordinates.
Atoms (fractional coordinates):
Sr 0.0000 0.0000 0.0000  0.10
Pb 0.0912 0.0912 0.7263  0.01
Pb 0.9088 0.9088 0.2737  0.01
Pa 0.5000 0.5000 0.5000  0.07

***

No. 2
Density functional theory data (PBE-GGA) for a relaxed Mn2InPb crystal.

Properties
The excess energy over the best structure of this formula in the dataset is 145.1 meV per atom. The energy is -23.10 eV per cell. As for the formation energy: 162.4 kJ/mol of formula units. The space-group type is No. 12. Its volume is 21.14 Å³ per atom.

Cell lengths 4.8558, 4.8558, 5.8683 Å; angles 78.64, 78.64, 38.69 degrees
Site moments in Bohr magnetons follow the coordinates.
Atoms (fractional coordinates):
Mn 0.0009 0.0009 0.9623  3.72
Mn 0.4991 0.4991 0.5377  3.72
Pb 0.2500 0.2500 0.2500  -0.06
In 0.7500 0.7500 0.7500  -0.07

***

No. 3
Density functional theory data (PBE-GGA) for a relaxed KCo2Pb crystal.

Properties
The excess energy over the best structure of this formula in the dataset is 736.9 meV per atom. The energy is -14.66 eV per cell. As for the formation energy: 420.8 kJ/mol of formula units. The space-group type is No. 12. Its volume is 20.63 Å³ per atom.

Cell lengths 6.2335, 5.5798, 2.9503 Å; angles 79.23, 82.02, 121.46 degrees
Site moments in Bohr magnetons follow the coordinates.
Atoms (fractional coordinates):
Pb 0.5000 0.5000 0.0000  -0.04
Co 0.5000 0.0000 0.5000  1.67
Co 0.0000 0.0000 0.0000  1.67
K 0.0000 0.5000 0.5000  -0.03

***

No. 4
Density functional theory data (PBE-GGA) for a relaxed LiZn2Tc crystal.

Properties
The excess energy over the best structure of this formula in the dataset is 248.8 meV per atom. The energy is -14.18 eV per cell. As for the formation energy: 62.4 kJ/mol of formula units. The space-group type is No. 71. Its volume is 13.51 Å³ per atom.

Cell lengths 5.1340, 5.1340, 5.1340 Å; angles 148.89, 128.75, 61.18 degrees
Atoms (fractional coordinates):
Zn 0.5132 0.5132 0.0000
Zn 0.9868 0.9868 0.0000
Tc 0.2500 0.7500 0.5000
Li 0.7500 0.2500 0.5000

***

No. 5
Density functional theory data (PBE-GGA) for a relaxed SmZn2Au4 crystal.

Properties
The energy is -23.99 eV per cell. As for the formation energy: -348.5 kJ/mol of formula units. The space-group type is No. 12. Its volume is 18.98 Å³ per atom.

Cell lengths 5.6314, 5.3520, 5.6314 Å; angles 117.76, 103.25, 62.24 degrees
Atoms (fractional coordinates):
Au 0.3985 0.3017 0.0025
Au 0.9975 0.3017 0.6015
Au 0.0025 0.6983 0.3985
Au 0.6015 0.6983 0.9975
Sm 0.0000 0.0000 0.0000
Zn 0.5005 0.2483 0.4995
Zn 0.4995 0.7517 0.5005

***

No. 6
Density functional theory data (PBE-GGA) for a relaxed BeFe2Se crystal.

Properties
Its formation energy (no corrections) is 0.0774 eV/atom. The energy is -23.83 eV per cell. The space-group type is No. 99. Its volume is 11.96 Å³ per atom.

Cell lengths 3.0942, 3.0942, 4.9950 Å; angles 90.00, 90.00, 90.00 degrees
Site moments in Bohr magnetons follow the coordinates.
Atoms (fractional coordinates):
Be 0.5000 0.5000 0.7845  -0.08
Fe 0.0000 0.0000 0.9759  2.12
Fe 0.5000 0.5000 0.2463  2.20
Se 0.0000 0.0000 0.4932  0.00

***

No. 7
Density functional theory data (PBE-GGA) for a relaxed Cd4InAgPd2 crystal.

Properties
The energy is -20.10 eV per cell. As for the formation energy: -44.9 kJ/mol of formula units. The space-group type is No. 123. Its volume is 21.72 Å³ per atom.

Cell lengths 4.0005, 4.0005, 10.8567 Å; angles 90.00, 90.00, 90.00 degrees
Atoms (fractional coordinates):
Pd 0.5000 0.5000 0.3789
Pd 0.5000 0.5000 0.6211
Cd 0.0000 0.5000 0.1963
Cd 0.5000 0.0000 0.8037
Cd 0.0000 0.5000 0.8037
Cd 0.5000 0.0000 0.1963
In 0.0000 0.0000 0.5000
Ag 0.0000 0.0000 0.0000

***

No. 8
Density functional theory data (PBE-GGA) for a relaxed Ta4Cu5 crystal.

Properties
The excess energy over the best structure of this formula in the dataset is 70.0 meV per atom. The energy is -131.95 eV per cell. As for the formation energy: 184.8 kJ/mol of formula units. The space-group type is No. 193. Its volume is 15.01 Å³ per atom.

Cell lengths 7.6387, 7.6387, 5.3468 Å; angles 90.00, 90.00, 60.00 degrees
Atoms (fractional coordinates):
Cu 0.3333 0.3333 0.0000
Cu 0.3333 0.3333 0.5000
Cu 0.0000 0.3405 0.2500
Cu 0.3405 0.0000 0.7500
Cu 0.6667 0.6667 0.5000
Cu 0.0000 0.6595 0.7500
Cu 0.6595 0.3405 0.7500
Cu 0.3405 0.6595 0.2500
Cu 0.6595 0.0000 0.2500
Cu 0.6667 0.6667 0.0000
Ta 0.0000 0.6697 0.2500
Ta 0.0000 0.3303 0.7500
Ta 0.6697 0.0000 0.7500
Ta 0.3303 0.6697 0.7500
Ta 0.6697 0.3303 0.2500
Ta 0.3303 0.0000 0.2500
Ta 0.0000 0.0000 0.5000
Ta 0.0000 0.0000 0.0000